Ca2Y2Fe, relaxed, DFT PBE-GGA; final energy = -4.756 eV/atom; ΔH_f (0 K) = 0.32 eV per atom; space group = P4/mbm (127); DOS at the Fermi energy = 1.471 states/eV/atom; ΔE to the lowest computed polymorph = 0.000 eV/atom
1.0
7.1158 0.0000 0.0000
0.0000 7.1158 0.0000
0.0000 0.0000 6.1668
Ca Y Fe
4 4 2
Cartesian
1.2530 2.3049 0.0000
2.3049 5.8629 0.0000
4.8109 1.2530 0.0000
5.8629 4.8109 0.0000
1.2217 4.7796 3.0834
2.3362 1.2217 3.0834
4.7796 5.8941 3.0834
5.8941 2.3362 3.0834
0.0000 0.0000 3.0834
3.5579 3.5579 3.0834